Material: Li4Y3FeO8
Method: DFT, GGA+U
State: relaxed

Cell: 6.1832 10.0808 6.1952 Å, 90.00 90.00 90.00°
Space group C222 (No. 21)
One atom of each set of equivalent atoms:
1 Li 0.0000 0.0000 0.0000 (multiplicity 2)
2 Li 0.0000 0.5000 0.5000 (multiplicity 2)
3 Li 0.2500 0.2500 0.2474 (multiplicity 4)
4 Y 0.0000 0.5000 0.0000 (multiplicity 2)
5 Y 0.2500 0.2500 0.7423 (multiplicity 4)
6 Fe 0.0000 0.0000 0.5000 (multiplicity 2)
7 O 0.0000 0.2083 0.5000 (multiplicity 4)
8 O 0.0000 0.2758 0.0000 (multiplicity 4)
9 O 0.2425 0.0166 0.7378 (multiplicity 8)

Results
For the total magnetization, the calculation gives 9.99 Bohr magnetons per cell. The calculation puts the electronic total energy at -7.094 eV/atom.